(1)
## Ti3Ga4Ir (PBE-GGA)

Data for a relaxed Ti3Ga4Ir crystal.

As for the calculated formation energy: -0.449 eV per atom. For the total energy, the calculation gives -6.0302 eV per atom. The calculation puts the calculated density at 8.13 g cm⁻³.

Cell: 5.534 5.700 7.958 Å, 90.00 90.00 90.00°
Positions (direct):
1 Ti 0.662 0.994 0.000
2 Ti 0.947 0.725 0.237
3 Ti 0.447 0.275 0.263
4 Ti 0.162 0.006 0.500
5 Ti 0.447 0.275 0.737
6 Ti 0.947 0.725 0.763
7 Ga 0.204 0.475 0.000
8 Ga 0.691 0.488 0.000
9 Ga 0.945 0.217 0.240
10 Ga 0.445 0.783 0.260
11 Ga 0.191 0.512 0.500
12 Ga 0.704 0.525 0.500
13 Ga 0.445 0.783 0.740
14 Ga 0.945 0.217 0.760
15 Ir 0.174 0.968 0.000
16 Ir 0.674 0.032 0.500



(2)
## LaZrGe2O (PBE-GGA)

Data for a relaxed LaZrGe2O crystal.

As for the uncorrected formation energy: 1579 meV/atom. For the total energy, the calculation gives -3.9551 eV per atom. The calculation puts the calculated density at 4.12 g cm⁻³.

Cell: 5.384 5.446 5.384 Å, 90.00 90.00 90.00°
Positions (direct):
1 Ge 0.000 0.000 0.500
2 Ge 0.500 0.000 0.000
3 O 0.500 0.500 0.500
4 Zr 0.000 0.500 0.000
5 La 0.000 0.000 0.000



(3)
## SrNpInI6 (PBE-GGA)

Data for a relaxed SrNpInI6 crystal.

As for the uncorrected formation energy: -1039 meV/atom. For the total energy, the calculation gives -4.0015 eV per atom. The calculation puts the calculated density at 4.51 g cm⁻³.

Cell: 8.240 8.240 15.037 Å, 90.00 90.00 120.00°
Last column: magnetic moment on the atom in μB.
Positions (direct):
1 Sr 0.333 0.667 0.250  0.00
2 Sr 0.667 0.333 0.750  0.00
3 Np 0.667 0.333 0.250  4.02
4 Np 0.333 0.667 0.750  4.02
5 In 0.000 0.000 0.000  0.00
6 In 0.000 0.000 0.500  0.00
7 I 0.651 0.635 0.130  -0.02
8 I 0.984 0.349 0.130  -0.02
9 I 0.349 0.984 0.630  -0.02
10 I 0.016 0.651 0.870  -0.02
11 I 0.365 0.349 0.370  -0.02
12 I 0.984 0.635 0.370  -0.02
13 I 0.635 0.984 0.870  -0.02
14 I 0.651 0.016 0.370  -0.02
15 I 0.016 0.365 0.630  -0.02
16 I 0.365 0.016 0.130  -0.02
17 I 0.635 0.651 0.630  -0.02
18 I 0.349 0.365 0.870  -0.02



(4)
## Nb5PtN (PBE-GGA)

Data for a relaxed Nb5PtN crystal.

As for the uncorrected formation energy: -399 meV/atom. For the total energy, the calculation gives -9.6442 eV per atom. The calculation puts the calculated density at 9.73 g cm⁻³.

Cell: 5.648 5.648 9.057 Å, 68.89 68.89 61.15°
Positions (direct):
1 Nb 0.978 0.616 0.112
2 Nb 0.183 0.547 0.545
3 Nb 0.616 0.978 0.612
4 Nb 0.998 0.002 0.250
5 Nb 0.453 0.817 0.955
6 Nb 0.547 0.183 0.045
7 Nb 0.002 0.998 0.750
8 Nb 0.384 0.022 0.388
9 Nb 0.817 0.453 0.455
10 Nb 0.022 0.384 0.888
11 Pt 0.514 0.486 0.250
12 Pt 0.486 0.514 0.750
13 N 0.000 0.000 0.000
14 N 0.000 0.000 0.500